VASP calculation (GGA-PBEsol) on an optimized crystal structure of SiSb2W.

Structure (extended XYZ):
```
4
Lattice="4.705 0.000 0.000 0.000 3.359 0.000 -1.391 0.000 4.803" Properties=species:S:1:pos:R:3 pbc="T T T"
Si 0.000 0.000 0.000
Sb 1.657 0.000 2.401
Sb 2.352 1.680 0.000
W -0.696 1.680 2.401
```

Results
D(E_F), states/eV/cell: 2.8

***

VASP calculation (GGA-PBEsol) on an optimized crystal structure of SiSb2W.

Structure (extended XYZ):
```
4
Lattice="-1.783 1.799 6.770 1.783 -1.799 6.770 1.783 1.799 -6.770" Properties=species:S:1:pos:R:3 pbc="T T T"
Si 0.000 0.000 0.000
Sb 1.783 0.000 2.987
Sb 0.000 0.000 5.925
W 0.000 1.799 1.684
```

Results
D(E_F), states/eV/cell: 3.1

***

VASP calculation (GGA-PBEsol) on an optimized crystal structure of Y2SiSb.

Structure (extended XYZ):
```
4
Lattice="-2.123 2.123 5.190 2.123 -2.123 5.190 2.123 2.123 -5.190" Properties=species:S:1:pos:R:3 pbc="T T T"
Y 0.000 0.000 0.000
Y 0.000 2.123 2.595
Si 2.123 0.000 2.595
Sb 0.000 0.000 5.190
```

Results
D(E_F), states/eV/cell: 1.5
Energy above the lowest structure with this stoichiometry, meV/atom: 120.4

***

Uncorrected formation energy for the records above, in order: 0.77 0.45 -0.77 eV per atom
Calculated density for the records above, in order: 9.963 8.708 5.812 g/cm³
Calculated volume for the records above, in order: 19.0 21.7 23.4 A^3/atom